Entry 1:
Material: AgOsNO
Method: DFT, PBE-GGA
State: relaxed

energy above the most stable polymorph in this dataset = 617 meV/atom
V = 12.46 Å³/atom

```
AgOsNO
1.0
3.842 0.000 0.000
0.000 3.842 0.000
0.000 0.000 6.750
Ag O Os N
2 2 2 2
Direct
0.500 0.000 0.850
0.000 0.500 0.150
0.000 0.000 0.000
0.500 0.500 0.000
0.000 0.000 0.500
0.500 0.500 0.500
0.000 0.500 0.620
0.500 0.000 0.380
```

---

Entry 2:
Material: AgOsNO
Method: DFT, PBE-GGA
State: relaxed

energy above the most stable polymorph in this dataset = 169 meV/atom
V = 13.49 Å³/atom

```
AgOsNO
1.0
3.216 0.000 0.000
0.000 5.485 0.000
0.000 0.000 6.117
O Os Ag N
2 2 2 2
Direct
0.500 0.840 0.808
0.500 0.340 0.192
0.500 0.497 0.904
0.500 0.997 0.096
0.000 0.044 0.554
0.000 0.544 0.446
0.000 0.873 0.219
0.000 0.373 0.781
```

---

Entry 3:
Material: AgOsNO
Method: DFT, PBE-GGA
State: relaxed

energy above the most stable polymorph in this dataset = 1126 meV/atom
V = 11.45 Å³/atom

```
AgOsNO
1.0
2.496 -2.496 0.000
2.496 2.496 0.000
0.000 0.000 7.356
Ag O Os N
2 2 2 2
Direct
0.750 0.250 0.500
0.250 0.750 0.500
0.750 0.250 0.000
0.250 0.750 0.000
0.250 0.250 0.162
0.750 0.750 0.838
0.250 0.250 0.741
0.750 0.750 0.259
```

---

Entry 4:
Material: AgOsNO
Method: DFT, PBE-GGA
State: relaxed

energy above the most stable polymorph in this dataset = 0 meV/atom
V = 14.37 Å³/atom

```
AgOsNO
1.0
2.005 -0.773 1.832
-4.843 -2.745 4.143
0.546 -5.143 -2.769
N O Os Ag
2 2 2 2
Direct
0.000 0.267 0.566
0.000 0.767 0.434
0.500 0.930 0.811
0.500 0.430 0.189
0.000 0.508 0.417
0.000 0.008 0.583
0.500 0.549 0.834
0.500 0.049 0.166
```

---

Entry 5:
Material: PaAgNO
Method: DFT, PBE-GGA
State: relaxed

energy above the most stable polymorph in this dataset = 135 meV/atom
V = 14.03 Å³/atom

```
PaAgNO
1.0
4.924 0.000 0.000
0.000 4.924 0.000
0.000 0.000 4.629
N O Ag Pa
2 2 2 2
Direct
0.750 0.750 0.500
0.250 0.250 0.500
0.750 0.250 0.000
0.250 0.750 0.000
0.250 0.250 0.001
0.750 0.750 0.999
0.250 0.750 0.500
0.750 0.250 0.500
```

---

Entry 6:
Material: PaAgNO
Method: DFT, PBE-GGA
State: relaxed

energy above the most stable polymorph in this dataset = 82 meV/atom
V = 14.26 Å³/atom

```
PaAgNO
1.0
3.456 -3.568 0.000
3.456 3.568 0.000
0.000 0.000 4.626
Ag O N Pa
2 2 2 2
Direct
0.750 0.750 0.997
0.250 0.250 0.003
0.250 0.750 0.000
0.750 0.250 0.000
0.750 0.750 0.498
0.250 0.250 0.502
0.250 0.750 0.500
0.750 0.250 0.500
```

---

Entry 7:
Material: PaAgNO
Method: DFT, PBE-GGA
State: relaxed

energy above the most stable polymorph in this dataset = 154 meV/atom
V = 14.74 Å³/atom

```
PaAgNO
1.0
-2.479 -2.079 1.181
3.607 -1.973 4.097
-1.825 4.253 3.656
Pa N O Ag
2 2 2 2
Direct
0.500 0.313 0.442
0.500 0.687 0.942
0.000 0.490 0.687
0.000 0.510 0.187
0.500 0.991 0.679
0.500 0.009 0.179
0.000 0.817 0.438
0.000 0.183 0.938
```

---

Entry 8:
Material: PaAgNO
Method: DFT, PBE-GGA
State: relaxed

energy above the most stable polymorph in this dataset = 0 meV/atom
V = 16.20 Å³/atom

```
PaAgNO
1.0
-1.602 -4.227 3.236
5.599 1.999 5.384
-3.810 3.487 2.668
O Ag Pa N
4 4 4 4
Direct
0.255 0.530 0.111
0.755 0.470 0.111
0.245 0.530 0.611
0.745 0.470 0.611
0.966 0.962 0.506
0.466 0.038 0.506
0.534 0.962 0.006
0.034 0.038 0.006
0.951 0.660 0.882
0.451 0.340 0.882
0.049 0.340 0.382
0.549 0.660 0.382
0.881 0.809 0.204
0.381 0.191 0.204
0.619 0.809 0.704
0.119 0.191 0.704
```

---

Entry 9:
Material: PaAgNO
Method: DFT, PBE-GGA
State: relaxed

energy above the most stable polymorph in this dataset = 122 meV/atom
V = 14.44 Å³/atom

```
PaAgNO
1.0
-1.250 1.544 -3.122
-3.470 -0.261 1.260
0.697 7.643 3.501
O Ag N Pa
2 2 2 2
Direct
0.250 0.750 0.000
0.750 0.250 0.000
0.250 0.750 0.500
0.750 0.250 0.500
0.250 0.250 0.723
0.750 0.750 0.277
0.250 0.250 0.171
0.750 0.750 0.829
```

---

Entry 10:
Material: PaAgNO
Method: DFT, PBE-GGA
State: relaxed

energy above the most stable polymorph in this dataset = 36 meV/atom
V = 16.10 Å³/atom

```
PaAgNO
1.0
0.149 2.345 -3.538
3.158 3.202 2.256
4.688 -3.247 -1.955
Pa Ag O N
2 2 2 2
Direct
0.000 0.441 0.276
0.000 0.941 0.724
0.500 0.941 0.266
0.500 0.441 0.734
0.500 0.937 0.847
0.500 0.437 0.153
0.000 0.435 0.659
0.000 0.935 0.341
```

---

Entry 11:
Material: PmAgNO
Method: DFT, PBE-GGA
State: relaxed

energy above the most stable polymorph in this dataset = 0 meV/atom
V = 15.09 Å³/atom

```
PmAgNO
1.0
3.916 0.000 0.000
0.000 3.916 0.000
0.000 0.000 7.873
N O Pm Ag
2 2 2 2
Direct
0.000 0.500 0.670
0.500 0.000 0.330
0.500 0.500 0.000
0.000 0.000 0.000
0.500 0.000 0.848
0.000 0.500 0.152
0.500 0.500 0.500
0.000 0.000 0.500
```

---

Entry 12:
Material: PmAgNO
Method: DFT, PBE-GGA
State: relaxed

energy above the most stable polymorph in this dataset = 0 meV/atom
V = 15.09 Å³/atom

```
PmAgNO
1.0
-3.672 0.136 1.348
-1.219 -2.035 -3.113
1.194 -6.725 3.929
O Pm N Ag
2 2 2 2
Direct
0.750 0.250 0.000
0.250 0.750 0.000
0.750 0.750 0.848
0.250 0.250 0.152
0.750 0.750 0.330
0.250 0.250 0.670
0.750 0.250 0.500
0.250 0.750 0.500
```